The following is a DFT calculation (GGA-PBE) of a relaxed LaZn2Ni crystal.

Lattice parameters (Å, degrees): 3.9692 3.9626 5.0643 90.00 90.00 90.00
Last column: nearest neighbours and their distance in Å.
Atoms (fractional coordinates):
La1 0.5000 0.0000 0.5000  4 Ni 2.80
Ni1 0.0000 0.5000 0.5000  4 La 2.80
Zn1 0.0000 0.0000 0.0000  4 Zn 2.80
Zn2 0.5000 0.5000 0.0000  4 Zn 2.80

Properties
The value obtained for the calculated total energy is -3.397 eV/atom.

=====

The following is a DFT calculation (GGA-PBE) of a relaxed LaZn2Ni crystal.

Lattice parameters (Å, degrees): 5.9828 4.0287 3.8527 84.62 73.12 107.85
Last column: nearest neighbours and their distance in Å.
Atoms (fractional coordinates):
La1 0.5000 0.5000 0.0000  4 Ni 2.65-2.91
Ni1 0.5000 0.0000 0.5000  4 La 2.65-2.91
Zn1 0.0000 0.0000 0.0000  4 Zn 2.65-2.91
Zn2 0.0000 0.5000 0.5000  4 Zn 2.65-2.91

Properties
The value obtained for the calculated total energy is -3.223 eV/atom.

=====

The following is a DFT calculation (GGA-PBE) of a relaxed LaZn4Ni4 crystal.

Lattice parameters (Å, degrees): 4.2309 8.1174 8.1174 90.00 90.00 90.00
Last column: nearest neighbours and their distance in Å.
Atoms (fractional coordinates):
La1 0.0000 0.0000 0.0000  8 Ni 3.08-3.12, 4 Zn 3.17
La2 0.5000 0.5000 0.5000  8 Ni 3.08-3.12, 4 Zn 3.17
Zn1 0.4917 0.4076 0.8795  4 Ni 2.37-2.53, 1 Zn 2.47
Zn2 0.9917 0.6205 0.9076  4 Ni 2.37-2.53, 1 Zn 2.47
Zn3 0.4917 0.5924 0.1205  4 Ni 2.37-2.53, 1 Zn 2.47
Zn4 0.0083 0.0924 0.6205  4 Ni 2.37-2.53, 1 Zn 2.47
Zn5 0.5083 0.8795 0.5924  4 Ni 2.37-2.53, 1 Zn 2.47
Zn6 0.0083 0.9076 0.3795  4 Ni 2.37-2.53, 1 Zn 2.47
Zn7 0.9917 0.3795 0.0924  4 Ni 2.37-2.53, 1 Zn 2.47
Zn8 0.5083 0.1205 0.4076  4 Ni 2.37-2.53, 1 Zn 2.47
Ni1 0.5076 0.8581 0.2403  4 Zn 2.37-2.53
Ni2 0.5076 0.1419 0.7597  4 Zn 2.37-2.53
Ni3 0.0076 0.7403 0.6419  4 Zn 2.37-2.53
Ni4 0.9924 0.3581 0.7403  4 Zn 2.37-2.53
Ni5 0.9924 0.6419 0.2597  4 Zn 2.37-2.53
Ni6 0.4924 0.2403 0.1419  4 Zn 2.37-2.53
Ni7 0.4924 0.7597 0.8581  4 Zn 2.37-2.53
Ni8 0.0076 0.2597 0.3581  4 Zn 2.37-2.53

Properties
The value obtained for the calculated total energy is -3.808 eV/atom.

=====

The following is a DFT calculation (GGA-PBE) of a relaxed La2Zn5Ni12 crystal.

Lattice parameters (Å, degrees): 6.4605 6.4605 6.4605 82.60 82.60 82.60
Last column: nearest neighbours and their distance in Å.
Atoms (fractional coordinates):
La1 0.6499 0.6499 0.6499  15 Ni 3.02-3.27, 4 Zn 3.19-3.37
La2 0.3501 0.3501 0.3501  15 Ni 3.02-3.27, 4 Zn 3.19-3.37
Zn1 0.0000 0.0000 0.5000  8 Ni 2.46, 2 Zn 2.62
Zn2 0.0000 0.5000 0.0000  8 Ni 2.46, 2 Zn 2.62
Zn3 0.5000 0.0000 0.0000  8 Ni 2.46, 2 Zn 2.62
Zn4 0.9039 0.9039 0.9039  4 Zn 2.41-2.62, 3 Ni 2.64
Zn5 0.0961 0.0961 0.0961  4 Zn 2.41-2.62, 3 Ni 2.64
Ni1 0.2958 0.7042 0.0000  2 Zn 2.46, 6 Ni 2.52-2.62
Ni2 0.7042 0.0000 0.2958  2 Zn 2.46, 6 Ni 2.52-2.62
Ni3 0.0000 0.2958 0.7042  2 Zn 2.46, 6 Ni 2.52-2.62
Ni4 0.7042 0.2958 0.0000  2 Zn 2.46, 6 Ni 2.52-2.62
Ni5 0.2958 0.0000 0.7042  2 Zn 2.46, 6 Ni 2.52-2.62
Ni6 0.0000 0.7042 0.2958  2 Zn 2.46, 6 Ni 2.52-2.62
Ni7 0.3424 0.3424 0.8465  3 Zn 2.46-2.64, 6 Ni 2.50-2.62
Ni8 0.3424 0.8465 0.3424  3 Zn 2.46-2.64, 6 Ni 2.50-2.62
Ni9 0.8465 0.3424 0.3424  3 Zn 2.46-2.64, 6 Ni 2.50-2.62
Ni10 0.6576 0.1535 0.6576  3 Zn 2.46-2.64, 6 Ni 2.50-2.62
Ni11 0.6576 0.6576 0.1535  3 Zn 2.46-2.64, 6 Ni 2.50-2.62
Ni12 0.1535 0.6576 0.6576  3 Zn 2.46-2.64, 6 Ni 2.50-2.62

Properties
The value obtained for the calculated total energy is -4.742 eV/atom.

=====

The following is a DFT calculation (GGA-PBE) of a relaxed LaZn5Ni2 crystal.

Lattice parameters (Å, degrees): 3.9636 6.2264 6.2264 71.79 71.44 71.44
Last column: nearest neighbours and their distance in Å.
Atoms (fractional coordinates):
La1 0.0000 0.0000 0.0000  4 Ni 2.98
Zn1 0.0000 0.5000 0.5000  2 Ni 2.41
Zn2 0.6574 0.5239 0.1613  3 Ni 2.45-2.56, 1 Zn 2.65
Zn3 0.3426 0.4761 0.8387  3 Ni 2.45-2.56, 1 Zn 2.65
Zn4 0.3426 0.8387 0.4761  3 Ni 2.45-2.56, 1 Zn 2.65
Zn5 0.6574 0.1613 0.5239  3 Ni 2.45-2.56, 1 Zn 2.65
Ni1 0.7404 0.7596 0.7596  7 Zn 2.41-2.56
Ni2 0.2596 0.2404 0.2404  7 Zn 2.41-2.56

Properties
The value obtained for the calculated total energy is -3.145 eV/atom.

=====

The following is a DFT calculation (GGA-PBE) of a relaxed LaZn2Ni crystal.

Lattice parameters (Å, degrees): 3.9031 3.6913 5.9664 71.72 90.00 90.00
Last column: nearest neighbours and their distance in Å.
Atoms (fractional coordinates):
La1 0.0000 0.5305 0.5682  4 Ni 2.94, 3 Zn 3.04-3.21
Zn1 0.0000 0.7951 0.0318  2 Ni 2.42
Zn2 0.5000 0.2505 0.1223  2 Ni 2.68-2.69, 4 Zn 2.73-2.74
Ni1 0.5000 0.9238 0.7777  4 Zn 2.42-2.69

Properties
The value obtained for the calculated total energy is -3.482 eV/atom.

=====

no.,energy of formation from the pure elements (meV per atom)
1,-82
2,91
3,-125
4,-236
5,-288
6,-167